The following is a DFT calculation (GGA-PBEsol) of HgSb2W after structural relaxation.

a = 3.543 Å, b = 4.629 Å, c = 5.459 Å
α = 90.00°, β = 108.94°, γ = 90.00°
Element x y z (fractional)
Hg  0.533  0.500  0.066
Sb  0.986  0.000  0.971
Sb  0.268  0.500  0.537
W  0.702  0.000  0.404

Properties
Energy relative to the elements, uncorrected in meV/atom: 529
V in Å³ per cell: 85